Entry from the Alexandria database: a relaxed BaSc2Cd crystal (PBEsol).

The structure in CIF format:
```
data_BaSc2Cd
_chemical_formula_sum 'Ba2 Sc4 Cd2'
_cell_length_a 4.825
_cell_length_b 4.825
_cell_length_c 9.364
_cell_angle_alpha 90.00
_cell_angle_beta 90.00
_cell_angle_gamma 90.00
_space_group_name_H-M_alt 'I -4 m 2'
_space_group_IT_number 119
_space_group_name_Hall 'I -4 -2'
loop_
_atom_site_label
_atom_site_fract_x
_atom_site_fract_y
_atom_site_fract_z
Ba1 0.000 0.000 0.000
Sc1 0.000 0.000 0.500
Sc2 0.000 0.500 0.750
Cd1 0.000 0.500 0.250
```

Volume   27.2 Å³/atom
Uncorrected energy   -3.95 eV/atom



Entry from the Alexandria database: a relaxed BaScCd2 crystal (PBEsol).

The structure in CIF format:
```
data_BaScCd2
_chemical_formula_sum 'Ba4 Sc4 Cd8'
_cell_length_a 7.657
_cell_length_b 7.657
_cell_length_c 7.657
_cell_angle_alpha 90.00
_cell_angle_beta 90.00
_cell_angle_gamma 90.00
_space_group_name_H-M_alt 'F m -3 m'
_space_group_IT_number 225
_space_group_name_Hall '-F 4 2 3'
loop_
_atom_site_label
_atom_site_fract_x
_atom_site_fract_y
_atom_site_fract_z
Ba1 0.000 0.000 0.000
Sc1 0.000 0.000 0.500
Cd1 0.250 0.250 0.250
```

Volume   28.1 Å³/atom
Distance to the lowest polymorph of the same formula   0.169 eV per atom
Uncorrected energy   -2.87 eV/atom



Entry from the Alexandria database: a relaxed BaScCd2 crystal (PBEsol).

The structure in CIF format:
```
data_BaScCd2
_chemical_formula_sum 'Ba1 Sc1 Cd2'
_cell_length_a 3.653
_cell_length_b 3.653
_cell_length_c 8.090
_cell_angle_alpha 90.00
_cell_angle_beta 90.00
_cell_angle_gamma 90.00
_space_group_name_H-M_alt 'P 4/m m m'
_space_group_IT_number 123
_space_group_name_Hall '-P 4 2'
loop_
_atom_site_label
_atom_site_fract_x
_atom_site_fract_y
_atom_site_fract_z
Ba1 0.000 0.000 0.000
Sc1 0.000 0.000 0.500
Cd1 0.500 0.500 0.307
```

Volume   27.0 Å³/atom
Distance to the lowest polymorph of the same formula   0.000 eV per atom
Uncorrected energy   -3.04 eV/atom



Entry from the Alexandria database: a relaxed BaScCd2 crystal (PBEsol).

The structure in CIF format:
```
data_BaScCd2
_chemical_formula_sum 'Ba3 Sc3 Cd6'
_cell_length_a 3.5885
_cell_length_b 3.5885
_cell_length_c 30.1497
_cell_angle_alpha 90.00
_cell_angle_beta 90.00
_cell_angle_gamma 120.00
_space_group_name_H-M_alt 'R -3 m'
_space_group_IT_number 166
_space_group_name_Hall '-R 3 2"'
loop_
_atom_site_label
_atom_site_fract_x
_atom_site_fract_y
_atom_site_fract_z
Ba1 0.0000 0.0000 0.0000
Sc1 0.0000 0.0000 0.5000
Cd1 0.0000 0.0000 0.2383
```

Volume   28.0 Å³/atom
Distance to the lowest polymorph of the same formula   0.261 eV per atom
Uncorrected energy   -2.78 eV/atom



Entry from the Alexandria database: a relaxed BaScCd crystal (PBEsol).

The structure in CIF format:
```
data_BaScCd
_chemical_formula_sum 'Ba4 Sc4 Cd4'
_cell_length_a 7.469
_cell_length_b 7.469
_cell_length_c 7.469
_cell_angle_alpha 90.00
_cell_angle_beta 90.00
_cell_angle_gamma 90.00
_space_group_name_H-M_alt 'F -4 3 m'
_space_group_IT_number 216
_space_group_name_Hall 'F -4 2 3'
loop_
_atom_site_label
_atom_site_fract_x
_atom_site_fract_y
_atom_site_fract_z
Ba1 0.000 0.000 0.000
Sc1 0.250 0.250 0.750
Cd1 0.250 0.250 0.250
```

Volume   34.7 Å³/atom
Distance to the lowest polymorph of the same formula   0.636 eV per atom
Uncorrected energy   -2.59 eV/atom



Entry from the Alexandria database: a relaxed BaSc2Cd crystal (PBEsol).

The structure in CIF format:
```
data_BaSc2Cd
_chemical_formula_sum 'Ba2 Sc4 Cd2'
_cell_length_a 12.383
_cell_length_b 3.660
_cell_length_c 5.312
_cell_angle_alpha 90.00
_cell_angle_beta 115.18
_cell_angle_gamma 90.00
_space_group_name_H-M_alt 'C 1 m 1'
_space_group_IT_number 8
_space_group_name_Hall 'C -2y'
loop_
_atom_site_label
_atom_site_fract_x
_atom_site_fract_y
_atom_site_fract_z
Ba1 0.000 0.000 0.000
Sc1 0.213 0.000 0.712
Sc2 0.455 0.000 0.455
Cd1 0.252 0.500 0.252
```

Volume   27.2 Å³/atom
Uncorrected energy   -3.99 eV/atom



> What is the uncorrected energy in the first record?

-3.95 eV/atom



> Which of these has the highest uncorrected energy?

BaScCd



Please write out number 6 again, unchanged.
Entry from the Alexandria database: a relaxed BaSc2Cd crystal (PBEsol).

The structure in CIF format:
```
data_BaSc2Cd
_chemical_formula_sum 'Ba2 Sc4 Cd2'
_cell_length_a 12.383
_cell_length_b 3.660
_cell_length_c 5.312
_cell_angle_alpha 90.00
_cell_angle_beta 115.18
_cell_angle_gamma 90.00
_space_group_name_H-M_alt 'C 1 m 1'
_space_group_IT_number 8
_space_group_name_Hall 'C -2y'
loop_
_atom_site_label
_atom_site_fract_x
_atom_site_fract_y
_atom_site_fract_z
Ba1 0.000 0.000 0.000
Sc1 0.213 0.000 0.712
Sc2 0.455 0.000 0.455
Cd1 0.252 0.500 0.252
```

Volume   27.2 Å³/atom
Uncorrected energy   -3.99 eV/atom



> Look up the uncorrected energy of the fourth one.

-2.78 eV/atom